Entry 1:
This record from the Alexandria database describes a PBEsol-optimized structure of Al2TePO. The functional is meta-GGA SCAN.

Structure (POSCAR):
```
Al2TePO
1.0
-2.433 -4.121 0.973
1.400 -1.979 -4.882
4.514 -2.153 2.167
P Al Te O
1 2 1 1
Cartesian
-1.216 -2.061 0.486 P
2.257 -1.077 1.083 Al
0.700 -0.989 -2.441 Al
0.000 0.000 0.000 Te
1.741 -4.127 -0.872 O
```

Computed properties:
Space group   P4/mmm (123)
ΔE_f (raw)   1453.4 meV per atom

Entry 2:
This record from the Alexandria database describes a PBEsol-optimized structure of Zr2FeCl. The functional is meta-GGA SCAN.

Structure (POSCAR):
```
Zr2FeCl
1.0
3.054 0.000 0.000
0.000 3.134 0.020
0.000 -0.046 7.555
Zr Cl Fe
2 1 1
Cartesian
0.000 3.125 1.580 Zr
0.000 -0.036 5.995 Zr
1.527 -0.023 3.778 Cl
1.527 1.567 0.010 Fe
```

Computed properties:
Space group   Pmmm (47)
ΔE_f (raw)   -592.2 meV per atom

Entry 3:
This record from the Alexandria database describes a PBEsol-optimized structure of MgTi3C. The functional is meta-GGA SCAN.

Structure (POSCAR):
```
MgTi3C
1.0
-3.600 0.370 2.168
1.591 -2.435 3.056
1.519 3.426 1.938
Ti Mg C
3 1 1
Cartesian
-1.800 0.185 1.084 Ti
0.760 1.713 0.969 Ti
0.795 -1.217 1.528 Ti
-0.245 0.680 3.582 Mg
0.000 0.000 0.000 C
```

Computed properties:
Space group   Pm-3m (221)
ΔE_f   -0.381 eV/atom

Entry 4:
This record from the Alexandria database describes a PBEsol-optimized structure of AsRu2Pb. The functional is meta-GGA SCAN.

Structure (POSCAR):
```
AsRu2Pb
1.0
3.052 -0.010 -0.015
-1.357 4.934 -0.038
-1.357 -1.918 4.546
Ru Pb As
2 1 1
Cartesian
-0.678 2.467 -0.019 Ru
-0.678 -0.959 2.273 Ru
0.169 1.503 2.247 Pb
1.526 -0.005 -0.007 As
```

Computed properties:
Space group   C2/m (12)
ΔE_f   0.654 eV/atom

Entry 5:
This record from the Alexandria database describes a PBEsol-optimized structure of Zr2AlZn. The functional is meta-GGA SCAN.

Structure (POSCAR):
```
Zr2AlZn
1.0
3.174 0.000 0.000
0.000 4.812 0.000
-1.587 -2.406 4.808
Zr Zn Al
2 1 1
Cartesian
0.000 0.000 0.134 Zr
0.000 2.406 2.351 Zr
1.587 0.000 2.560 Zn
0.000 0.000 4.571 Al
```

Computed properties:
Space group   Imm2 (44)
ΔE_f   -0.377 eV/atom

Entry 6:
This record from the Alexandria database describes a PBEsol-optimized structure of K3V5Te4H8O24. The functional is meta-GGA SCAN.

Structure (POSCAR):
```
K3V5Te4H8O24
1.0
7.442 0.000 0.000
0.000 8.854 0.000
0.000 0.000 16.773
O Te K H V
48 8 6 16 10
Cartesian
6.067 4.000 8.386 O
6.037 3.852 13.852 O
6.049 1.396 1.504 O
6.060 1.346 4.232 O
1.375 4.000 8.386 O
5.114 7.458 9.890 O
0.000 8.117 11.261 O
0.000 8.117 5.511 O
0.000 5.919 9.893 O
3.721 2.906 12.619 O
5.103 7.508 4.154 O
3.721 2.935 15.266 O
5.096 4.854 0.000 O
5.126 5.002 5.465 O
2.339 7.508 12.618 O
2.328 7.458 9.890 O
6.037 3.852 2.921 O
2.328 7.458 6.882 O
5.114 7.458 6.882 O
1.393 1.396 15.268 O
2.346 4.854 0.000 O
1.939 7.113 1.461 O
2.316 5.002 5.465 O
5.503 7.113 1.461 O
5.103 7.508 12.618 O
1.382 1.346 12.541 O
5.660 1.742 9.848 O
1.382 1.346 4.232 O
1.393 1.396 1.504 O
5.660 1.742 6.925 O
1.405 3.852 13.852 O
3.721 2.935 1.507 O
1.782 1.742 9.848 O
6.060 1.346 12.541 O
0.000 5.948 12.540 O
2.339 7.508 4.154 O
0.000 5.919 6.880 O
3.721 2.906 4.154 O
6.049 1.396 15.268 O
5.503 7.113 15.311 O
1.939 7.113 15.311 O
0.000 5.948 4.232 O
3.721 0.737 13.897 O
2.316 5.002 11.307 O
5.126 5.002 11.307 O
1.782 1.742 6.925 O
1.405 3.852 2.921 O
3.721 0.737 2.875 O
0.000 0.090 3.768 Te
3.721 8.764 12.154 Te
3.721 4.796 12.616 Te
3.721 4.796 4.157 Te
3.721 8.764 4.619 Te
0.000 4.058 12.543 Te
0.000 0.090 13.005 Te
0.000 4.058 4.230 Te
0.000 3.407 0.000 K
3.721 0.515 8.386 K
0.000 0.200 8.386 K
0.000 8.339 0.000 K
3.721 8.654 0.000 K
3.721 5.448 8.386 K
1.610 1.775 5.953 H
1.662 2.660 7.282 H
2.111 7.080 14.339 H
5.832 1.775 10.819 H
5.383 6.194 15.668 H
5.331 7.080 14.339 H
2.059 6.194 15.668 H
1.662 2.660 9.491 H
5.383 6.194 1.104 H
5.780 2.660 7.282 H
5.780 2.660 9.491 H
2.111 7.080 2.433 H
2.059 6.194 1.104 H
1.610 1.775 10.819 H
5.832 1.775 5.953 H
5.331 7.080 2.433 H
5.996 6.699 11.026 V
5.167 2.156 2.639 V
2.275 2.156 14.133 V
1.446 6.699 11.026 V
5.996 6.699 5.747 V
3.721 3.928 0.000 V
2.275 2.156 2.639 V
0.000 4.926 8.386 V
5.167 2.156 14.133 V
1.446 6.699 5.747 V
```

Computed properties:
Space group   Pmmn (59)
Calculated total energy   -11.75 eV/atom

Entry 7:
This record from the Alexandria database describes a PBEsol-optimized structure of In3Te. The functional is meta-GGA SCAN.

Structure (POSCAR):
```
In3Te
1.0
6.521 0.000 0.000
0.000 8.234 0.000
0.000 0.000 8.192
In Te
12 4
Cartesian
1.220 2.048 4.223 In
2.041 6.165 8.064 In
1.220 2.048 8.064 In
4.481 2.069 3.969 In
2.041 6.165 4.223 In
3.806 4.309 2.048 In
5.301 6.186 3.969 In
5.976 0.192 2.048 In
4.481 2.069 0.127 In
2.715 3.925 6.144 In
0.546 8.042 6.144 In
5.301 6.186 0.127 In
4.028 8.188 6.144 Te
0.768 4.164 2.048 Te
5.754 4.071 6.144 Te
2.493 0.046 2.048 Te
```

Computed properties:
Space group   Pnma (62)
ΔE_f (raw)   -101.5 meV per atom

Entry 8:
This record from the Alexandria database describes a PBEsol-optimized structure of Li3Fe3P4O16. The functional is meta-GGA SCAN.

Structure (POSCAR):
```
Li3Fe3P4O16
1.0
-1.240 2.170 4.255
-7.556 -3.100 -0.621
6.470 -10.540 7.262
O P Li Fe
32 8 6 6
Cartesian
-0.354 -1.055 1.582 O
-5.204 -3.964 1.026 O
3.803 -7.170 7.103 O
-1.972 -10.416 9.314 O
-1.185 -6.248 7.455 O
2.282 -9.771 7.346 O
3.160 -5.381 5.513 O
-0.605 -9.600 7.342 O
-4.615 -6.253 3.008 O
-4.608 -1.700 3.549 O
-1.722 -1.871 3.553 O
-6.130 -4.301 3.793 O
1.415 -6.994 6.320 O
-1.020 -7.660 5.324 O
2.878 -7.507 9.869 O
0.490 -7.334 9.082 O
0.192 -11.620 8.666 O
0.455 -3.683 2.251 O
-5.486 -6.090 5.383 O
2.289 -5.217 7.887 O
-3.741 -4.476 4.575 O
-1.824 -11.799 7.239 O
1.278 -5.750 3.483 O
-2.781 -7.788 8.645 O
-1.306 -3.811 5.571 O
-0.502 0.328 3.657 O
-2.817 -4.137 1.813 O
-2.518 0.149 2.229 O
1.346 -9.494 9.943 O
-3.605 -5.721 7.412 O
-1.142 -5.223 3.440 O
-3.672 -1.977 0.952 O
-1.025 -10.824 8.178 P
2.682 -6.157 6.732 P
-1.265 -8.480 4.051 P
-3.733 -3.483 0.739 P
-5.008 -5.314 4.163 P
-1.061 -2.991 6.844 P
1.407 -7.988 10.156 P
-1.301 -0.647 2.717 P
-1.163 -5.735 5.448 Li
-3.873 -3.937 6.515 Li
-6.049 -2.794 2.436 Li
1.546 -7.533 4.380 Li
0.000 0.000 0.000 Li
3.723 -8.677 8.459 Li
3.235 -5.270 3.631 Fe
-4.398 -0.465 1.817 Fe
-0.069 -7.833 7.206 Fe
0.014 -0.208 5.463 Fe
-2.341 -11.263 5.432 Fe
-2.258 -3.638 3.689 Fe
```

Computed properties:
Space group   P2_1/c (14)
ΔE_f (raw)   -2300.7 meV per atom